# BaHoAs2Pt4

A relaxed structure of BaHoAs2Pt4 (PBE, the Alexandria database).

Summary:
Total moment: 0.00 μB per cell
Energy of formation from the pure elements: -605.2 kJ/mol of formula units
VASP energy: -0.4248 Ry per atom

Cell lengths 4.131, 4.131, 10.572 Å; angles 90.00, 90.00, 90.00 degrees
Space group P4/mmm (No. 123)
Unique sites:
Ba 0.000 0.000 0.000
Ho 0.000 0.000 0.500
As 0.500 0.500 0.175
Pt 0.000 0.500 0.305



# SbPtSe2

A relaxed structure of SbPtSe2 (PBE, the Alexandria database).

Summary:
Total moment: 0.00 μB per cell
Formation energy from raw total energies: 0.199 eV/atom
VASP energy: -0.3002 Ry per atom

Cell lengths 3.795, 6.789, 7.515 Å; angles 90.00, 90.00, 90.00 degrees
Space group Cmmm (No. 65)
Unique sites:
Sb 0.000 0.000 0.000
Pt 0.000 0.000 0.500
Se 0.000 0.500 0.282



# BeNiSe

A relaxed structure of BeNiSe (PBE, the Alexandria database).

Summary:
Total moment: 0.00 μB per cell
Formation energy from raw total energies: -0.167 eV/atom
VASP energy: -0.3305 Ry per atom

Cell lengths 3.920, 3.924, 6.230 Å; angles 92.66, 107.08, 117.27 degrees
Space group P1 (No. 1)
Unique sites:
Be 0.000 0.000 0.000
Be 0.172 0.674 0.500
Ni 0.231 0.606 0.896
Ni 0.710 0.333 0.105
Se 0.529 0.332 0.702
Se 0.631 0.828 0.300



# Mo2IrAu

A relaxed structure of Mo2IrAu (PBE, the Alexandria database).

Summary:
Total moment: 0.00 μB per cell
Energy of formation from the pure elements: 18.4 kJ/mol of formula units
Excess energy over the best structure of this formula in the dataset: 0.062 eV per atom
VASP energy: -0.6176 Ry per atom

Cell lengths 5.509, 8.197, 2.783 Å; angles 90.00, 90.00, 90.00 degrees
Space group Cmmm (No. 65)
Unique sites:
Mo 0.250 0.250 0.000
Ir 0.000 0.000 0.500
Au 0.000 0.500 0.500



# OsRuRh

A relaxed structure of OsRuRh (PBE, the Alexandria database).

Summary:
Total moment: 0.00 μB per cell
Energy of formation from the pure elements: 185.9 kJ/mol of formula units
Excess energy over the best structure of this formula in the dataset: 0.587 eV per atom
VASP energy: -0.6353 Ry per atom

Cell lengths 5.874, 5.874, 5.874 Å; angles 90.00, 90.00, 90.00 degrees
Space group F-43m (No. 216)
Unique sites:
Os 0.000 0.000 0.000
Ru 0.250 0.250 0.750
Rh 0.250 0.250 0.250



# Cs12Na5Cd3

A relaxed structure of Cs12Na5Cd3 (PBE, the Alexandria database).

Summary:
Total moment: 0.00 μB per cell
Energy of formation from the pure elements: 284.4 kJ/mol of formula units
VASP energy: -0.0611 Ry per atom

Cell lengths 24.242, 24.242, 24.242 Å; angles 90.00, 90.00, 90.00 degrees
Space group Ia-3d (No. 230)
Unique sites:
Cs 0.020 0.081 0.651
Na 0.000 0.000 0.000
Na 0.000 0.250 0.375
Cd 0.000 0.250 0.125